Run 1
Density functional theory data (PBE) for crystalline Rb3YO3 at its relaxed geometry.

Properties
* crystal system: monoclinic
* Fermi-level density of states: 0.00 states/eV/f.u.
* calculated volume: 24.950 Å³ per atom
* symmetry: P2_1/c

Unit cell a=7.4415 b=7.8293 c=12.0129 alpha=86.51 beta=90.00 gamma=90.00
Positions (direct):
O: 0.3576 0.7405 0.0553
O: 0.0510 0.2981 0.8006
O: 0.4508 0.1189 0.5905
O: 0.8576 0.2595 0.4447
O: 0.0492 0.1189 0.0905
O: 0.6424 0.2595 0.9447
O: 0.5510 0.7019 0.6994
O: 0.4490 0.2981 0.3006
O: 0.9508 0.8811 0.9095
O: 0.5492 0.8811 0.4095
O: 0.9490 0.7019 0.1994
O: 0.1424 0.7405 0.5553
Rb: 0.8438 0.6473 0.4208
Rb: 0.3438 0.3527 0.0792
Rb: 0.8750 0.9219 0.6638
Rb: 0.3083 0.6183 0.3110
Rb: 0.1250 0.0781 0.3362
Rb: 0.3750 0.0781 0.8362
Rb: 0.1562 0.3527 0.5792
Rb: 0.6250 0.9219 0.1638
Rb: 0.6917 0.3817 0.6890
Rb: 0.8083 0.3817 0.1890
Rb: 0.6562 0.6473 0.9208
Rb: 0.1917 0.6183 0.8110
Y: 0.4076 0.8401 0.5712
Y: 0.5924 0.1599 0.4288
Y: 0.9076 0.1599 0.9288
Y: 0.0924 0.8401 0.0712

---

Run 2
Density functional theory data (PBE) for crystalline Rb3YO3 at its relaxed geometry.

Properties
* crystal system: monoclinic
* Fermi-level density of states: 0.00 states/eV/f.u.
* calculated volume: 25.122 Å³ per atom
* symmetry: C2/m

Unit cell a=7.3718 b=7.3718 c=7.3514 alpha=85.37 beta=85.37 gamma=116.99
Positions (direct):
Y: 0.1782 0.1782 0.8497
Y: 0.8218 0.8218 0.1503
O: 0.4476 0.1694 0.7322
O: 0.8941 0.8941 0.8473
O: 0.8306 0.5524 0.2678
O: 0.1059 0.1059 0.1527
O: 0.5524 0.8306 0.2678
O: 0.1694 0.4476 0.7322
Rb: 0.7399 0.2601 0.0000
Rb: 0.7897 0.2103 0.5000
Rb: 0.6405 0.6405 0.6412
Rb: 0.3595 0.3595 0.3588
Rb: 0.2601 0.7399 0.0000
Rb: 0.2103 0.7897 0.5000

---

Most favorable first, least favorable last: run 1, run 2

---

Run 1
Density functional theory data (PBE) for crystalline RbZn2O2 at its relaxed geometry.

Properties
* crystal system: tetragonal
* Fermi-level density of states: 2.01 states/eV/f.u.
* calculated volume: 17.665 Å³ per atom
* symmetry: I4/mmm

Unit cell a=4.0366 b=4.0366 c=6.1264 alpha=70.77 beta=70.77 gamma=90.00
Positions (direct):
O: 0.2500 0.7500 0.5000
O: 0.7500 0.2500 0.5000
Zn: 0.6982 0.6982 0.6036
Zn: 0.3018 0.3018 0.3964
Rb: 0.0000 0.0000 0.0000

---

Run 2
Density functional theory data (PBE) for crystalline RbZn2O2 at its relaxed geometry.

Properties
* crystal system: orthorhombic
* Fermi-level density of states: 0.53 states/eV/f.u.
* calculated volume: 16.292 Å³ per atom
* symmetry: Fddd

Unit cell a=6.1428 b=6.1428 c=5.8016 alpha=107.38 beta=107.38 gamma=115.83
Positions (direct):
Rb: 0.1250 0.3750 0.2500
Rb: 0.8750 0.6250 0.7500
Zn: 0.5102 0.2602 0.0204
Zn: 0.7602 0.0102 0.5204
Zn: 0.2398 0.9898 0.4796
Zn: 0.4898 0.7398 0.9796
O: 0.8150 0.6850 0.2500
O: 0.1850 0.3150 0.7500
O: 0.4350 0.0650 0.2500
O: 0.5650 0.9350 0.7500

---

Most favorable first, least favorable last: run 2, run 1

---

Run 1
Density functional theory data (PBE) for crystalline RbZn3O at its relaxed geometry.

Properties
* crystal system: cubic
* Fermi-level density of states: 4.15 states/eV/f.u.
* calculated volume: 65.010 Å³ per atom
* symmetry: Pm-3m

Unit cell a=6.8757 b=6.8757 c=6.8757 alpha=90.00 beta=90.00 gamma=90.00
Positions (direct):
Rb: 0.0000 0.0000 0.0000
O: 0.5000 0.5000 0.5000
Zn: 0.0000 0.5000 0.0000
Zn: 0.0000 0.0000 0.5000
Zn: 0.5000 0.0000 0.0000

---

Run 2
Density functional theory data (PBE) for crystalline RbZn3O at its relaxed geometry.

Properties
* crystal system: cubic
* Fermi-level density of states: 3.08 states/eV/f.u.
* calculated volume: 22.702 Å³ per atom
* symmetry: Pm-3m

Unit cell a=4.8419 b=4.8419 c=4.8419 alpha=90.00 beta=90.00 gamma=90.00
Positions (direct):
Zn: 0.0000 0.0000 0.5000
Zn: 0.5000 0.0000 0.0000
Zn: 0.0000 0.5000 0.0000
O: 0.0000 0.0000 0.0000
Rb: 0.5000 0.5000 0.5000

---

Most favorable first, least favorable last: run 2, run 1

---

Run 1
Density functional theory data (PBE) for crystalline RbZr3O at its relaxed geometry.

Properties
* crystal system: cubic
* Fermi-level density of states: 4.31 states/eV/f.u.
* calculated volume: 21.086 Å³ per atom
* symmetry: Pm-3m

Unit cell a=4.7241 b=4.7241 c=4.7241 alpha=90.00 beta=90.00 gamma=90.00
Positions (direct):
Zr: 0.0000 0.5000 0.0000
Zr: 0.0000 0.0000 0.5000
Zr: 0.5000 0.0000 0.0000
O: 0.0000 0.0000 0.0000
Rb: 0.5000 0.5000 0.5000

---

Run 2
Density functional theory data (PBE) for crystalline RbZr3O at its relaxed geometry.

Properties
* crystal system: cubic
* Fermi-level density of states: 9.46 states/eV/f.u.
* calculated volume: 25.338 Å³ per atom
* symmetry: Pm-3m

Unit cell a=5.0224 b=5.0224 c=5.0224 alpha=90.00 beta=90.00 gamma=90.00
Positions (direct):
Zr: 0.5000 0.0000 0.0000
Zr: 0.0000 0.5000 0.0000
Zr: 0.0000 0.0000 0.5000
Rb: 0.0000 0.0000 0.0000
O: 0.5000 0.5000 0.5000

---

Most favorable first, least favorable last: run 1, run 2

---

Run 1
Density functional theory data (PBE) for crystalline Re2O7 at its relaxed geometry.

Properties
* crystal system: monoclinic
* Fermi-level density of states: 3.19 states/eV/f.u.
* calculated volume: 15.132 Å³ per atom
* symmetry: Cc

Unit cell a=7.3838 b=7.3848 c=7.2302 alpha=120.79 beta=120.78 gamma=89.87
Positions (direct):
O: 0.4611 0.3190 0.5050
O: 0.7061 0.0642 0.9952
O: 0.0790 0.0841 0.3914
O: 0.2983 0.2981 0.9984
O: 0.8341 0.3292 0.8917
O: 0.6927 0.6877 0.6087
O: 0.0690 0.7110 0.0049
O: 0.4376 0.9426 0.1086
O: 0.0493 0.5492 0.5001
O: 0.0683 0.0683 0.0000
O: 0.8142 0.9562 0.4953
O: 0.8183 0.3183 0.5001
O: 0.4587 0.9588 0.5001
O: 0.7088 0.7088 0.0001
Re: 0.7544 0.9762 0.7279
Re: 0.7766 0.4984 0.7724
Re: 0.2484 0.0266 0.2722
Re: 0.7263 0.0045 0.2280

---

Run 2
Density functional theory data (PBE) for crystalline Re2O7 at its relaxed geometry.

Properties
* crystal system: orthorhombic
* Fermi-level density of states: 0.00 states/eV/f.u.
* calculated volume: 19.972 Å³ per atom
* symmetry: Cmc2_1

Unit cell a=8.6755 b=8.6755 c=5.8192 alpha=90.00 beta=90.00 gamma=124.84
Positions (direct):
O: 0.9459 0.1803 0.0046
O: 0.2942 0.5219 0.9664
O: 0.4781 0.7058 0.4664
O: 0.7058 0.4781 0.4664
O: 0.2520 0.2520 0.3085
O: 0.0633 0.4575 0.3464
O: 0.0541 0.8197 0.5046
O: 0.1803 0.9459 0.0046
O: 0.4575 0.0633 0.3464
O: 0.5425 0.9367 0.8464
O: 0.5219 0.2942 0.9664
O: 0.7480 0.7480 0.8085
O: 0.9367 0.5425 0.8464
O: 0.8197 0.0541 0.5046
Re: 0.8650 0.6438 0.6602
Re: 0.3562 0.1350 0.1602
Re: 0.6438 0.8650 0.6602
Re: 0.1350 0.3562 0.1602

---

Run 3
Density functional theory data (PBE) for crystalline Re2O7 at its relaxed geometry.

Properties
* crystal system: orthorhombic
* Fermi-level density of states: 3.56 states/eV/f.u.
* calculated volume: 13.954 Å³ per atom
* symmetry: Cmcm

Unit cell a=9.2478 b=9.2478 c=5.3822 alpha=90.00 beta=90.00 gamma=146.93
Positions (direct):
O: 0.1328 0.5404 0.7500
O: 0.8808 0.1192 0.0000
O: 0.8808 0.1192 0.5000
O: 0.4596 0.8672 0.2500
O: 0.5857 0.4143 0.0000
O: 0.8188 0.8188 0.2500
O: 0.8672 0.4596 0.2500
O: 0.5857 0.4143 0.5000
O: 0.1192 0.8808 0.5000
O: 0.5404 0.1328 0.7500
O: 0.4143 0.5857 0.5000
O: 0.1192 0.8808 0.0000
O: 0.4143 0.5857 0.0000
O: 0.1812 0.1812 0.7500
Re: 0.6364 0.8543 0.2500
Re: 0.1457 0.3636 0.7500
Re: 0.3636 0.1457 0.7500
Re: 0.8543 0.6364 0.2500

---

Most favorable first, least favorable last: run 2, run 3, run 1

---

Run 1
Density functional theory data (PBE) for crystalline ReRh3O at its relaxed geometry.

Properties
* crystal system: cubic
* Fermi-level density of states: 8.64 states/eV/f.u.
* calculated volume: 13.743 Å³ per atom
* symmetry: Pm-3m

Unit cell a=4.0959 b=4.0959 c=4.0959 alpha=90.00 beta=90.00 gamma=90.00
Positions (direct):
Rh: 0.0000 0.5000 0.0000
Rh: 0.0000 0.0000 0.5000
Rh: 0.5000 0.0000 0.0000
O: 0.0000 0.0000 0.0000
Re: 0.5000 0.5000 0.5000

---

Run 2
Density functional theory data (PBE) for crystalline ReRh3O at its relaxed geometry.

Properties
* crystal system: cubic
* Fermi-level density of states: 5.07 states/eV/f.u.
* calculated volume: 20.820 Å³ per atom
* symmetry: Pm-3m

Unit cell a=4.7042 b=4.7042 c=4.7042 alpha=90.00 beta=90.00 gamma=90.00
Positions (direct):
Rh: 0.0000 0.5000 0.0000
Rh: 0.5000 0.0000 0.0000
Rh: 0.0000 0.0000 0.5000
Re: 0.0000 0.0000 0.0000
O: 0.5000 0.5000 0.5000

---

Most favorable first, least favorable last: run 1, run 2

---

Run 1
Density functional theory data (PBE) for crystalline ReRhO2 at its relaxed geometry.

Properties
* crystal system: tetragonal
* Fermi-level density of states: 2.38 states/eV/f.u.
* calculated volume: 11.816 Å³ per atom
* symmetry: I-42d

Unit cell a=3.8492 b=3.8492 c=6.9364 alpha=73.89 beta=73.89 gamma=90.00
Positions (direct):
O: 0.6656 0.1250 0.2500
O: 0.8750 0.9156 0.7500
O: 0.0844 0.6250 0.2500
O: 0.3750 0.3344 0.7500
Re: 0.0000 0.0000 0.0000
Re: 0.7500 0.2500 0.5000
Rh: 0.5000 0.5000 0.0000
Rh: 0.2500 0.7500 0.5000

---

Run 2
Density functional theory data (PBE) for crystalline ReRhO2 at its relaxed geometry.

Properties
* crystal system: trigonal
* Fermi-level density of states: 2.33 states/eV/f.u.
* calculated volume: 11.058 Å³ per atom
* symmetry: R-3m

Unit cell a=7.0091 b=7.0091 c=7.0091 alpha=22.50 beta=22.50 gamma=22.50
Positions (direct):
Re: 0.5000 0.5000 0.5000
O: 0.0993 0.0993 0.0993
O: 0.9007 0.9007 0.9007
Rh: 0.0000 0.0000 0.0000

---

Run 3
Density functional theory data (PBE) for crystalline ReRhO2 at its relaxed geometry.

Properties
* crystal system: cubic
* Fermi-level density of states: 5.56 states/eV/f.u.
* calculated volume: 10.619 Å³ per atom
* symmetry: Fm-3m

Unit cell a=3.9164 b=3.9164 c=3.9164 alpha=60.00 beta=60.00 gamma=60.00
Positions (direct):
O: 0.7500 0.7500 0.7500
O: 0.2500 0.2500 0.2500
Re: 0.5000 0.5000 0.5000
Rh: 0.0000 0.0000 0.0000

---

Most favorable first, least favorable last: run 2, run 1, run 3

---

Run 1
Density functional theory data (PBE) for crystalline Re2S2O13 at its relaxed geometry.

Properties
* crystal system: orthorhombic
* Fermi-level density of states: 0.00 states/eV/f.u.
* calculated volume: 15.888 Å³ per atom
* symmetry: Pba2

Unit cell a=6.3594 b=8.6596 c=9.8095 alpha=90.00 beta=90.00 gamma=90.00
Positions (direct):
Re: 0.9712 0.8266 0.3902
Re: 0.9712 0.6734 0.8902
Re: 0.9712 0.1734 0.6098
Re: 0.9712 0.3266 0.1098
O: 0.4952 0.8160 0.6975
O: 0.1734 0.2714 0.9341
O: 0.1734 0.2286 0.4341
O: 0.4952 0.1840 0.3025
O: 0.7841 0.7969 0.9514
O: 0.2551 0.4704 0.1535
O: 0.8630 0.3936 0.2580
O: 0.7841 0.2969 0.5486
O: 0.8630 0.6064 0.7420
O: 0.1734 0.7286 0.0659
O: 0.1491 0.1696 0.1909
O: 0.7841 0.7031 0.4514
O: 0.9021 0.0000 0.5000
O: 0.1734 0.7714 0.5659
O: 0.1491 0.3304 0.6909
O: 0.2551 0.9704 0.3465
O: 0.2551 0.0296 0.6535
O: 0.7841 0.2031 0.0486
O: 0.2551 0.5296 0.8465
O: 0.9021 0.5000 0.0000
O: 0.4952 0.3160 0.8025
O: 0.4952 0.6840 0.1975
O: 0.8630 0.8936 0.2420
O: 0.1491 0.6696 0.3091
O: 0.8630 0.1064 0.7580
O: 0.1491 0.8304 0.8091
S: 0.2829 0.3607 0.8249
S: 0.2829 0.1393 0.3249
S: 0.2829 0.8607 0.6751
S: 0.2829 0.6393 0.1751

---

Run 2
Density functional theory data (PBE) for crystalline Re2S2O13 at its relaxed geometry.

Properties
* crystal system: orthorhombic
* Fermi-level density of states: 0.00 states/eV/f.u.
* calculated volume: 14.740 Å³ per atom
* symmetry: Pbcm

Unit cell a=7.3131 b=7.9498 c=17.2401 alpha=90.00 beta=90.00 gamma=90.00
Positions (direct):
O: 0.0946 0.4551 0.1183
O: 0.3551 0.2304 0.1490
O: 0.1085 0.7696 0.9669
O: 0.2500 0.2878 0.0000
O: 0.4988 0.8468 0.3199
O: 0.0946 0.4551 0.3817
O: 0.8327 0.0116 0.5619
O: 0.5012 0.1532 0.8199
O: 0.1257 0.6004 0.7500
O: 0.3327 0.9884 0.5619
O: 0.6449 0.7696 0.6490
O: 0.8743 0.3996 0.2500
O: 0.0012 0.8468 0.6801
O: 0.3551 0.2304 0.3510
O: 0.4054 0.4551 0.6183
O: 0.5012 0.1532 0.6801
O: 0.6449 0.7696 0.8510
O: 0.8551 0.7696 0.3510
O: 0.8915 0.2304 0.0331
O: 0.2131 0.8769 0.2500
O: 0.8915 0.2304 0.4669
O: 0.9054 0.5449 0.6183
O: 0.7131 0.1231 0.2500
O: 0.1449 0.2304 0.8510
O: 0.1449 0.2304 0.6490
O: 0.3327 0.9884 0.9381
O: 0.1085 0.7696 0.5331
O: 0.7500 0.7122 0.5000
O: 0.4988 0.8468 0.1801
O: 0.6673 0.0116 0.4381
O: 0.8551 0.7696 0.1490
O: 0.9988 0.1532 0.1801
O: 0.3915 0.7696 0.0331
O: 0.7869 0.1231 0.7500
O: 0.2869 0.8769 0.7500
O: 0.6673 0.0116 0.0619
O: 0.3915 0.7696 0.4669
O: 0.1673 0.9884 0.4381
O: 0.9988 0.1532 0.3199
O: 0.3743 0.6004 0.2500
O: 0.8327 0.0116 0.9381
O: 0.5946 0.5449 0.3817
O: 0.9054 0.5449 0.8817
O: 0.6085 0.2304 0.5331
O: 0.2500 0.2878 0.5000
O: 0.5946 0.5449 0.1183
O: 0.6257 0.3996 0.7500
O: 0.1673 0.9884 0.0619
O: 0.6085 0.2304 0.9669
O: 0.7500 0.7122 0.0000
O: 0.0012 0.8468 0.8199
O: 0.4054 0.4551 0.8817
Re: 0.6532 0.7496 0.1003
Re: 0.8468 0.7496 0.6003
Re: 0.1532 0.2504 0.1003
Re: 0.8468 0.7496 0.8997
Re: 0.6532 0.7496 0.3997
Re: 0.3468 0.2504 0.6003
Re: 0.3468 0.2504 0.8997
Re: 0.1532 0.2504 0.3997
S: 0.1225 0.7809 0.7500
S: 0.6225 0.2191 0.7500
S: 0.8775 0.2191 0.2500
S: 0.2500 0.8810 0.0000
S: 0.7500 0.1190 0.0000
S: 0.3775 0.7809 0.2500
S: 0.2500 0.8810 0.5000
S: 0.7500 0.1190 0.5000

---

Most favorable first, least favorable last: run 1, run 2